Computed, not measured: crystalline Ba2CdGa2 at its relaxed geometry at the PBE-GGA level of DFT.

Summary:
- Energy relative to the lowest polymorph listed for this composition: 0.09 eV/f.u.
- DFT total energy: -2.4735 eV per atom
- Energy of formation from the pure elements: -150 kJ/mol of formula units
- Density of states at the Fermi level: 4.65 states/eV/f.u.

```
data_Ba2CdGa2
_cell_length_a 6.688
_cell_length_b 6.688
_cell_length_c 6.688
_cell_angle_alpha 137.95
_cell_angle_beta 126.74
_cell_angle_gamma 70.08
_symmetry_space_group_name_H-M 'P 1'
_symmetry_Int_Tables_number 1
_symmetry_space_group_name_Hall 'P 1'
loop_
_atom_site_label
_atom_site_type_symbol
_atom_site_fract_x
_atom_site_fract_y
_atom_site_fract_z
Ba1 Ba 0.200 0.200 0.000
Ba2 Ba 0.800 0.800 0.000
Cd1 Cd 0.500 0.000 0.500
Ga1 Ga 0.234 0.500 0.734
Ga2 Ga 0.766 0.500 0.266
```